# Rb2ZrCoCl6, optimized geometry, DFT PBE
data_Rb2ZrCoCl6
_chemical_formula_sum 'Rb4 Zr2 Co2 Cl12'
_cell_length_a 7.958
_cell_length_b 7.958
_cell_length_c 9.094
_cell_angle_alpha 90.00
_cell_angle_beta 90.00
_cell_angle_gamma 90.00
_space_group_name_H-M_alt 'I 4/m m m'
_space_group_IT_number 139
_space_group_name_Hall '-I 4 2'
loop_
_atom_site_label
_atom_site_type_symbol
_atom_site_fract_x
_atom_site_fract_y
_atom_site_fract_z
_atom_site_occupancy
Rb1 Rb 0.000 0.500 0.250 1
Zr1 Zr 0.000 0.000 0.000 1
Co1 Co 0.000 0.000 0.500 1
Cl1 Cl 0.000 0.000 0.270 1
Cl2 Cl 0.227 0.227 0.000 1
# formation energy without anion corrections: -13.854 eV/f.u.
# total magnetization: 0.100 μB per atom
# Fermi-level density of states: 0.052 states/eV per atom



# MnP2CCl, optimized geometry, DFT PBE
data_MnP2CCl
_chemical_formula_sum 'Mn1 P2 C1 Cl1'
_cell_length_a 4.263
_cell_length_b 4.263
_cell_length_c 4.895
_cell_angle_alpha 90.00
_cell_angle_beta 90.00
_cell_angle_gamma 90.00
_space_group_name_H-M_alt 'P 4/m m m'
_space_group_IT_number 123
_space_group_name_Hall '-P 4 2'
loop_
_atom_site_label
_atom_site_type_symbol
_atom_site_fract_x
_atom_site_fract_y
_atom_site_fract_z
_atom_site_occupancy
Mn1 Mn 0.000 0.000 0.000 1
P1 P 0.000 0.500 0.000 1
C1 C 0.500 0.500 0.500 1
Cl1 Cl 0.000 0.000 0.500 1
# formation energy without anion corrections: 7.805 eV/f.u.
# energy above the most stable polymorph in this dataset: 10.6 kJ per mole of atoms
# total magnetization: 0.345 μB per atom
# Fermi-level density of states: 0.852 states/eV per atom



# Ac2AlGa3Au4, optimized geometry, DFT PBE
data_Ac2AlGa3Au4
_chemical_formula_sum 'Ac2 Al1 Ga3 Au4'
_cell_length_a 4.593
_cell_length_b 4.593
_cell_length_c 10.550
_cell_angle_alpha 90.00
_cell_angle_beta 90.00
_cell_angle_gamma 90.00
_space_group_name_H-M_alt 'P -4 m 2'
_space_group_IT_number 115
loop_
_space_group_symop_operation_xyz
'x,y,z'
'y,-x,-z'
'-x,-y,z'
'-y,x,-z'
'-x,y,z'
'-y,-x,-z'
'x,-y,z'
'y,x,-z'
loop_
_atom_site_label
_atom_site_type_symbol
_atom_site_fract_x
_atom_site_fract_y
_atom_site_fract_z
_atom_site_occupancy
Ac1 Ac 0.000 0.500 0.246 1
Al1 Al 0.000 0.000 0.500 1
Ga1 Ga 0.000 0.500 0.870 1
Ga2 Ga 0.500 0.500 0.500 1
Au1 Au 0.000 0.000 0.000 1
Au2 Au 0.000 0.500 0.625 1
Au3 Au 0.500 0.500 0.000 1
# total magnetization: 0.000 μB per atom
# ΔH_f (0 K): -694 meV per atom
# Fermi-level density of states: 0.514 states/eV per atom



# SrSmPd2, optimized geometry, DFT PBE
data_SrSmPd2
_chemical_formula_sum 'Sr4 Sm4 Pd8'
_cell_length_a 7.278
_cell_length_b 7.278
_cell_length_c 7.278
_cell_angle_alpha 90.00
_cell_angle_beta 90.00
_cell_angle_gamma 90.00
_space_group_name_H-M_alt 'F m -3 m'
_space_group_IT_number 225
_space_group_name_Hall '-F 4 2 3'
loop_
_atom_site_label
_atom_site_type_symbol
_atom_site_fract_x
_atom_site_fract_y
_atom_site_fract_z
_atom_site_occupancy
Sr1 Sr 0.000 0.000 0.000 1
Sm1 Sm 0.000 0.000 0.500 1
Pd1 Pd 0.250 0.250 0.250 1
# energy above the most stable polymorph in this dataset: 7.5 kJ per mole of atoms
# total magnetization: 0.000 μB per atom
# ΔH_f (0 K): -642 meV per atom
# Fermi-level density of states: 0.406 states/eV per atom



# Ca2OsAu, optimized geometry, DFT PBE
data_Ca2OsAu
_chemical_formula_sum 'Ca6 Os3 Au3'
_cell_length_a 3.4088
_cell_length_b 3.4088
_cell_length_c 26.8258
_cell_angle_alpha 90.00
_cell_angle_beta 90.00
_cell_angle_gamma 120.00
_space_group_name_H-M_alt 'R -3 m'
_space_group_IT_number 166
_space_group_name_Hall '-R 3 2"'
loop_
_atom_site_label
_atom_site_type_symbol
_atom_site_fract_x
_atom_site_fract_y
_atom_site_fract_z
_atom_site_occupancy
Ca1 Ca 0.0000 0.0000 0.2454 1
Os1 Os 0.0000 0.0000 0.5000 1
Au1 Au 0.0000 0.0000 0.0000 1
# total magnetization: 0.000 μB per atom
# ΔH_f (0 K): 255 meV per atom
# Fermi-level density of states: 0.537 states/eV per atom



# BeCdMo2, optimized geometry, DFT PBE
data_BeCdMo2
_chemical_formula_sum 'Be3 Cd3 Mo6'
_cell_length_a 2.8093
_cell_length_b 2.8093
_cell_length_c 27.1583
_cell_angle_alpha 90.00
_cell_angle_beta 90.00
_cell_angle_gamma 120.00
_space_group_name_H-M_alt 'R -3 m'
_space_group_IT_number 166
_space_group_name_Hall '-R 3 2"'
loop_
_atom_site_label
_atom_site_type_symbol
_atom_site_fract_x
_atom_site_fract_y
_atom_site_fract_z
_atom_site_occupancy
Be1 Be 0.0000 0.0000 0.0000 1
Cd1 Cd 0.0000 0.0000 0.5000 1
Mo1 Mo 0.0000 0.0000 0.2597 1
# energy above the most stable polymorph in this dataset: 23.3 kJ per mole of atoms
# total magnetization: 0.000 μB per atom
# ΔH_f (0 K): 500 meV per atom
# Fermi-level density of states: 0.603 states/eV per atom



# AcNd2PaP4, optimized geometry, DFT PBE
data_AcNd2PaP4
_chemical_formula_sum 'Ac2 Nd4 Pa2 P8'
_cell_length_a 5.905
_cell_length_b 5.905
_cell_length_c 11.840
_cell_angle_alpha 90.00
_cell_angle_beta 90.00
_cell_angle_gamma 90.00
_space_group_name_H-M_alt 'I -4 m 2'
_space_group_IT_number 119
_space_group_name_Hall 'I -4 -2'
loop_
_atom_site_label
_atom_site_type_symbol
_atom_site_fract_x
_atom_site_fract_y
_atom_site_fract_z
_atom_site_occupancy
Ac1 Ac 0.000 0.000 0.000 1
Nd1 Nd 0.000 0.000 0.500 1
Nd2 Nd 0.000 0.500 0.250 1
Pa1 Pa 0.000 0.500 0.750 1
P1 P 0.000 0.000 0.256 1
P2 P 0.000 0.500 0.515 1
# total magnetization: 0.000 μB per atom
# ΔH_f (0 K): -1410 meV per atom
# Fermi-level density of states: 0.493 states/eV per atom



# BPtOF2, optimized geometry, DFT PBE
data_BPtOF2
_chemical_formula_sum 'B1 Pt1 O1 F2'
_cell_length_a 4.528
_cell_length_b 4.528
_cell_length_c 2.611
_cell_angle_alpha 90.00
_cell_angle_beta 90.00
_cell_angle_gamma 90.00
_space_group_name_H-M_alt 'P 4/m m m'
_space_group_IT_number 123
_space_group_name_Hall '-P 4 2'
loop_
_atom_site_label
_atom_site_type_symbol
_atom_site_fract_x
_atom_site_fract_y
_atom_site_fract_z
_atom_site_occupancy
B1 B 0.000 0.000 0.000 1
Pt1 Pt 0.500 0.500 0.500 1
O1 O 0.000 0.000 0.500 1
F1 F 0.000 0.500 0.000 1
# formation energy without anion corrections: -3.875 eV/f.u.
# energy above the most stable polymorph in this dataset: 0.0 kJ per mole of atoms
# total magnetization: 0.200 μB per atom
# Fermi-level density of states: 0.593 states/eV per atom



# LaTb5ErTm2, optimized geometry, DFT PBE
data_LaTb5ErTm2
_chemical_formula_sum 'La4 Tb20 Er4 Tm8'
_cell_length_a 5.616
_cell_length_b 19.887
_cell_length_c 10.496
_cell_angle_alpha 90.00
_cell_angle_beta 90.00
_cell_angle_gamma 90.00
_space_group_name_H-M_alt 'C m c 21'
_space_group_IT_number 36
loop_
_space_group_symop_operation_xyz
'x,y,z'
'-x,-y,z+1/2'
'-x,y,z'
'x,-y,z+1/2'
'x+1/2,y+1/2,z'
'-x+1/2,-y+1/2,z+1/2'
'-x+1/2,y+1/2,z'
'x+1/2,-y+1/2,z+1/2'
loop_
_atom_site_label
_atom_site_type_symbol
_atom_site_fract_x
_atom_site_fract_y
_atom_site_fract_z
_atom_site_occupancy
La1 La 0.000 0.083 0.000 1
Tb1 Tb 0.000 0.021 0.289 1
Tb2 Tb 0.000 0.115 0.574 1
Tb3 Tb 0.000 0.203 0.260 1
Tb4 Tb 0.000 0.220 0.866 1
Tb5 Tb 0.000 0.483 0.575 1
Er1 Er 0.000 0.301 0.564 1
Tm1 Tm 0.000 0.386 0.869 1
Tm2 Tm 0.000 0.388 0.285 1
# total magnetization: 0.000 μB per atom
# ΔH_f (0 K): 166 meV per atom
# Fermi-level density of states: 1.664 states/eV per atom



# Ca3Sm5Se8, optimized geometry, DFT PBE
data_Ca3Sm5Se8
_chemical_formula_sum 'Ca9 Sm15 Se24'
_cell_length_a 8.3297
_cell_length_b 8.3297
_cell_length_c 20.6217
_cell_angle_alpha 90.00
_cell_angle_beta 90.00
_cell_angle_gamma 120.00
_space_group_name_H-M_alt 'R -3 m'
_space_group_IT_number 166
_space_group_name_Hall '-R 3 2"'
loop_
_atom_site_label
_atom_site_type_symbol
_atom_site_fract_x
_atom_site_fract_y
_atom_site_fract_z
_atom_site_occupancy
Ca1 Ca 0.0000 0.5000 0.0000 1
Sm1 Sm 0.0000 0.0000 0.0000 1
Sm2 Sm 0.0000 0.0000 0.5000 1
Sm3 Sm 0.0000 0.5000 0.5000 1
Se1 Se 0.0000 0.0000 0.2509 1
Se2 Se 0.0020 0.5010 0.2509 1
# formation energy without anion corrections: -30.024 eV/f.u.
# total magnetization: 0.000 μB per atom
# Fermi-level density of states: 0.450 states/eV per atom